The following is a DFT calculation (PBE) of an optimized crystal structure of AcPrDySn.

Geometry as POSCAR:
```
AcPrDySn
1.0
5.635 0.000 0.000
2.818 4.880 0.000
2.818 1.627 4.601
Pr Ac Sn Dy
1 1 1 1
direct
0.750 0.750 0.750 Pr
0.500 0.500 0.500 Ac
0.000 0.000 0.000 Sn
0.250 0.250 0.250 Dy
```

Output
- uncorrected energy (eV for the cell shown) = -18.26
- ΔH_f (0 K) (meV per atom) = -191